## Mg3Si2Ir5 (PBE)

Data for an optimized crystal structure of Mg3Si2Ir5.

Calculated values
Volume ... 15.384 Å³ per atom
Spin magnetization ... 0.000 Bohr magnetons per cell
Crystal system ... tetragonal
E_form (uncorrected) ... -0.5147 eV per atom
SG ... P4/mbm (127)

Cell lengths 3.3239, 9.6211, 9.6211 Å; angles 90.00, 90.00, 90.00 degrees
Sites, in units of the cell vectors:
Mg1 0.0000 0.3278 0.8278
Mg2 0.0000 0.6722 0.1722
Mg3 0.0000 0.1722 0.3278
Mg4 0.0000 0.8278 0.6722
Mg5 0.0000 0.0000 0.0000
Mg6 0.0000 0.5000 0.5000
Si1 0.0000 0.1291 0.6291
Si2 0.0000 0.8709 0.3709
Si3 0.0000 0.3709 0.1291
Si4 0.0000 0.6291 0.8709
Ir1 0.5000 0.2075 0.0711
Ir2 0.5000 0.7925 0.9289
Ir3 0.5000 0.9289 0.2075
Ir4 0.5000 0.0711 0.7925
Ir5 0.5000 0.2925 0.5711
Ir6 0.5000 0.7075 0.4289
Ir7 0.5000 0.5711 0.7075
Ir8 0.5000 0.4289 0.2925
Ir9 0.5000 0.0000 0.5000
Ir10 0.5000 0.5000 0.0000